VInGaO4: optimized geometry, GGA+U.

```
VInGaO4
1.0
-3.061 3.159 4.397
3.061 -3.159 4.397
3.061 3.159 -4.397
V In Ga O
2 2 2 8
Cartesian
-1.530 1.580 2.199 V
1.530 1.580 2.199 V
0.000 0.000 0.000 In
0.000 3.159 0.000 In
3.061 1.580 -1.138 Ga
0.000 1.580 5.535 Ga
1.531 1.580 0.022 O
3.061 0.019 2.187 O
4.590 1.580 0.022 O
0.000 0.019 2.210 O
3.061 3.141 2.187 O
-1.530 1.580 4.375 O
0.000 3.141 2.210 O
1.530 1.580 4.375 O
```

Summary:
**Calculated total energy**: -89.78 eV per cell
**Magnetic moment**: 0.410 μB/atom
**Volume**: 170.1 Å³/cell